Record 1
The following is a DFT calculation (GGA-PBE) of a geometry-optimized CeSm3Cd2 structure.

a = 3.646 Å, b = 3.646 Å, c = 12.894 Å
α = 90.00°, β = 90.00°, γ = 90.00°
Element x y z (fractional)
Ce1 0.500 0.500 0.500
Sm1 0.000 0.000 0.000
Sm2 0.000 0.000 0.681
Sm3 0.000 0.000 0.319
Cd1 0.500 0.500 0.839
Cd2 0.500 0.500 0.161

Calculated values
DFT formation energy ... -0.178 eV per atom


Record 2
The following is a DFT calculation (GGA-PBE) of a geometry-optimized Na2Ta2Bi structure.

a = 9.179 Å, b = 9.179 Å, c = 3.023 Å
α = 90.00°, β = 90.00°, γ = 90.00°
Element x y z (fractional)
Na1 0.304 0.804 0.000
Na2 0.804 0.696 0.000
Na3 0.696 0.196 0.000
Na4 0.196 0.304 0.000
Bi1 0.000 0.000 0.000
Bi2 0.500 0.500 0.000
Ta1 0.094 0.594 0.500
Ta2 0.594 0.906 0.500
Ta3 0.906 0.406 0.500
Ta4 0.406 0.094 0.500

Calculated values
ΔE to the lowest computed polymorph ... 372.5 meV per atom
DFT formation energy ... 1.046 eV per atom


Record 3
The following is a DFT calculation (GGA-PBE) of a geometry-optimized NpSeF structure.

a = 3.988 Å, b = 4.122 Å, c = 4.122 Å
α = 120.00°, β = 90.00°, γ = 90.00°
Element x y z (fractional)
Np1 0.166 0.000 0.000
Se1 0.667 0.667 0.333
F1 0.167 0.333 0.667

Calculated values
ΔE_f (raw) ... -6.5 eV/f.u.


Record 4
The following is a DFT calculation (GGA-PBE) of a geometry-optimized AlP2NO structure.

a = 3.915 Å, b = 3.915 Å, c = 3.869 Å
α = 90.00°, β = 90.00°, γ = 90.00°
Element x y z (fractional)
P1 0.000 0.500 0.000
P2 0.500 0.000 0.000
Al1 0.500 0.500 0.500
O1 0.000 0.000 0.500
N1 0.000 0.000 0.000

Calculated values
ΔE_f (raw) ... 3.9 eV/f.u.
ΔE to the lowest computed polymorph ... 0.0 meV per atom


Record 5
The following is a DFT calculation (GGA-PBE) of a geometry-optimized Tl2InPdO structure.

a = 5.193 Å, b = 4.333 Å, c = 5.193 Å
α = 90.00°, β = 90.00°, γ = 90.00°
Element x y z (fractional)
Tl1 0.000 0.000 0.500
Tl2 0.500 0.000 0.000
O1 0.000 0.000 0.000
Pd1 0.500 0.500 0.500
In1 0.000 0.500 0.000

Calculated values
ΔE_f (raw) ... -0.3 eV/f.u.


Record 6
The following is a DFT calculation (GGA-PBE) of a geometry-optimized Al2CuAu2 structure.

a = 5.448 Å, b = 5.500 Å, c = 11.261 Å
α = 90.00°, β = 107.73°, γ = 90.00°
Element x y z (fractional)
Al1 0.702 0.863 0.103
Al2 0.202 0.637 0.103
Al3 0.798 0.363 0.897
Al4 0.298 0.137 0.897
Al5 0.744 0.628 0.498
Al6 0.244 0.872 0.498
Al7 0.756 0.128 0.502
Al8 0.256 0.372 0.502
Cu1 0.463 0.373 0.318
Cu2 0.537 0.627 0.682
Cu3 0.963 0.127 0.318
Cu4 0.037 0.873 0.682
Au1 0.614 0.336 0.104
Au2 0.114 0.164 0.104
Au3 0.886 0.836 0.896
Au4 0.386 0.664 0.896
Au5 0.983 0.618 0.301
Au6 0.483 0.882 0.301
Au7 0.517 0.118 0.699
Au8 0.017 0.382 0.699

Calculated values
ΔE to the lowest computed polymorph ... 58.6 meV per atom
DFT formation energy ... -0.222 eV per atom


Record 7
The following is a DFT calculation (GGA-PBE) of a geometry-optimized SrCrPd structure.

a = 4.997 Å, b = 4.999 Å, c = 7.352 Å
α = 112.27°, β = 112.26°, γ = 84.56°
Element x y z (fractional)
Sr1 0.424 0.395 0.274
Sr2 0.112 0.083 0.657
Pd1 0.208 0.763 0.965
Pd2 0.792 0.179 0.965
Cr1 0.638 0.609 0.823
Cr2 0.783 0.753 0.105

Calculated values
ΔE to the lowest computed polymorph ... 192.2 meV per atom
DFT formation energy ... 0.192 eV per atom


Record 8
The following is a DFT calculation (GGA-PBE) of a geometry-optimized Sr3Pm structure.

a = 5.748 Å, b = 5.748 Å, c = 5.748 Å
α = 90.00°, β = 90.00°, γ = 90.00°
Element x y z (fractional)
Sr1 0.000 0.500 0.500
Sr2 0.500 0.000 0.500
Sr3 0.500 0.500 0.000
Pm1 0.000 0.000 0.000

Calculated values
ΔE to the lowest computed polymorph ... 31.5 meV per atom
DFT formation energy ... 0.187 eV per atom


Record 9
The following is a DFT calculation (GGA-PBE) of a geometry-optimized Ba2UTe5Pb structure.

a = 4.693 Å, b = 10.191 Å, c = 15.576 Å
α = 90.00°, β = 90.00°, γ = 103.31°
Element x y z (fractional)
Ba1 0.865 0.730 0.802
Ba2 0.091 0.181 0.658
Ba3 0.135 0.270 0.302
Ba4 0.909 0.819 0.158
U1 0.777 0.554 0.529
U2 0.223 0.446 0.029
Te1 0.374 0.748 0.989
Te2 0.701 0.402 0.900
Te3 0.492 0.984 0.759
Te4 0.268 0.536 0.662
Te5 0.924 0.849 0.575
Te6 0.626 0.252 0.489
Te7 0.299 0.598 0.400
Te8 0.508 0.016 0.259
Te9 0.732 0.464 0.162
Te10 0.076 0.151 0.075
Pb1 0.547 0.093 0.949
Pb2 0.453 0.907 0.449

Calculated values
ΔE_f (raw) ... -9.3 eV/f.u.


Record 10
The following is a DFT calculation (GGA-PBE) of a geometry-optimized Pu2PaMnN4 structure.

a = 3.341 Å, b = 5.891 Å, c = 11.513 Å
α = 90.00°, β = 90.00°, γ = 106.47°
Element x y z (fractional)
Pu1 0.369 0.737 0.556
Pu2 0.631 0.263 0.056
Pu3 0.631 0.263 0.444
Pu4 0.369 0.737 0.944
Pa1 0.111 0.221 0.750
Pa2 0.889 0.779 0.250
Mn1 0.846 0.692 0.750
Mn2 0.154 0.308 0.250
N1 0.279 0.558 0.127
N2 0.721 0.442 0.627
N3 0.721 0.442 0.873
N4 0.279 0.558 0.373
N5 0.000 0.000 0.500
N6 0.000 0.000 0.000
N7 0.462 0.925 0.750
N8 0.538 0.075 0.250

Calculated values
ΔE_f (raw) ... -9.0 eV/f.u.


Record 11
The following is a DFT calculation (GGA-PBE) of a geometry-optimized LiCaAgI structure.

a = 5.368 Å, b = 5.368 Å, c = 5.368 Å
α = 60.00°, β = 60.00°, γ = 60.00°
Element x y z (fractional)
I1 0.000 0.000 0.000
Ca1 0.750 0.750 0.750
Ag1 0.500 0.500 0.500
Li1 0.250 0.250 0.250

Calculated values
ΔE_f (raw) ... -1.5 eV/f.u.


Record 12
The following is a DFT calculation (GGA-PBE) of a geometry-optimized LiMg2Zn2Au5 structure.

a = 3.680 Å, b = 9.861 Å, c = 9.861 Å
α = 90.00°, β = 90.00°, γ = 90.00°
Element x y z (fractional)
Li1 0.000 0.000 0.000
Li2 0.000 0.500 0.500
Mg1 0.000 0.665 0.165
Mg2 0.000 0.335 0.835
Mg3 0.000 0.165 0.335
Mg4 0.000 0.835 0.665
Zn1 0.000 0.132 0.632
Zn2 0.000 0.868 0.368
Zn3 0.000 0.632 0.868
Zn4 0.000 0.368 0.132
Au1 0.500 0.175 0.106
Au2 0.500 0.825 0.894
Au3 0.500 0.106 0.825
Au4 0.500 0.675 0.394
Au5 0.500 0.894 0.175
Au6 0.500 0.325 0.606
Au7 0.500 0.606 0.675
Au8 0.500 0.394 0.325
Au9 0.500 0.500 0.000
Au10 0.500 0.000 0.500

Calculated values
DFT formation energy ... -0.345 eV per atom


Record 13
The following is a DFT calculation (GGA-PBE) of a geometry-optimized CrGaHRu2 structure.

a = 4.000 Å, b = 4.000 Å, c = 3.608 Å
α = 90.00°, β = 90.00°, γ = 90.00°
Element x y z (fractional)
Ru1 0.000 0.500 0.000
Ru2 0.500 0.000 0.000
H1 0.000 0.000 0.000
Ga1 0.500 0.500 0.500
Cr1 0.000 0.000 0.500


Record 14
The following is a DFT calculation (GGA-PBE) of a geometry-optimized Cd2HgMo structure.

a = 2.920 Å, b = 2.920 Å, c = 9.324 Å
α = 90.00°, β = 90.00°, γ = 90.00°
Element x y z (fractional)
Cd1 0.000 0.000 0.983
Cd2 0.500 0.500 0.248
Hg1 0.000 0.000 0.517
Mo1 0.500 0.500 0.752

Calculated values
DFT formation energy ... 0.375 eV per atom


Record 15
The following is a DFT calculation (GGA-PBE) of a geometry-optimized Ca2ZnGe3 structure.

a = 4.324 Å, b = 6.097 Å, c = 5.795 Å
α = 73.21°, β = 68.09°, γ = 69.23°
Element x y z (fractional)
Ca1 0.559 0.184 0.697
Ca2 0.443 0.808 0.306
Zn1 0.161 0.419 0.260
Ge1 0.850 0.572 0.727
Ge2 0.821 0.225 0.133
Ge3 0.167 0.791 0.876

Calculated values
ΔE to the lowest computed polymorph ... 19.8 meV per atom
DFT formation energy ... -0.430 eV per atom


Record 16
The following is a DFT calculation (GGA-PBE) of a geometry-optimized Si2AgPt structure.

a = 4.488 Å, b = 4.488 Å, c = 4.488 Å
α = 60.00°, β = 60.00°, γ = 60.00°
Element x y z (fractional)
Ag1 0.500 0.500 0.500
Pt1 0.750 0.750 0.750
Si1 0.000 0.000 0.000
Si2 0.250 0.250 0.250

Calculated values
ΔE_f (raw) ... 1.1 eV/f.u.
ΔE to the lowest computed polymorph ... 396.2 meV per atom


Record 17
The following is a DFT calculation (GGA-PBE) of a geometry-optimized Y2ReP structure.

a = 6.304 Å, b = 6.304 Å, c = 6.304 Å
α = 148.15°, β = 138.33°, γ = 53.38°
Element x y z (fractional)
Y1 0.979 0.979 0.000
Y2 0.244 0.744 0.500
Re1 0.713 0.213 0.500
P1 0.564 0.564 0.000

Calculated values
DFT formation energy ... -0.378 eV per atom


Record 18
The following is a DFT calculation (GGA-PBE) of a geometry-optimized Na2TePbN structure.

a = 4.998 Å, b = 4.420 Å, c = 4.998 Å
α = 90.00°, β = 90.00°, γ = 90.00°
Element x y z (fractional)
Pb1 0.500 0.500 0.500
Na1 0.000 0.000 0.500
Na2 0.500 0.000 0.000
Te1 0.000 0.500 0.000
N1 0.000 0.000 0.000

Calculated values
ΔE_f (raw) ... 0.9 eV/f.u.


Record 19
The following is a DFT calculation (GGA-PBE) of a geometry-optimized Hf2PtPb2 structure.

a = 7.030 Å, b = 7.030 Å, c = 4.883 Å
α = 90.00°, β = 90.00°, γ = 90.00°
Element x y z (fractional)
Pb1 0.163 0.663 0.500
Pb2 0.663 0.837 0.500
Pb3 0.837 0.337 0.500
Pb4 0.337 0.163 0.500
Hf1 0.343 0.843 0.000
Hf2 0.843 0.657 0.000
Hf3 0.657 0.157 0.000
Hf4 0.157 0.343 0.000
Pt1 0.000 0.000 0.000
Pt2 0.500 0.500 0.000

Calculated values
DFT formation energy ... -0.084 eV per atom


Record 20
The following is a DFT calculation (GGA-PBE) of a geometry-optimized Ca2MgW structure.

a = 3.044 Å, b = 3.044 Å, c = 10.595 Å
α = 90.00°, β = 90.00°, γ = 90.56°
Element x y z (fractional)
Ca1 0.000 0.000 0.975
Ca2 0.000 0.000 0.525
Mg1 0.500 0.500 0.250
W1 0.500 0.500 0.750

Calculated values
DFT formation energy ... 0.602 eV per atom


Listing E for the structures above in their given order: -3.832, -4.999, -8.274, -4.794, -3.577, -3.849, -5.308, -2.262, -4.877, -11.199, -2.451, -2.748, -6.937, -2.866, -3.618, -4.663, -8.075, -3.374, -6.757, -4.036 eV/atom.
Listing magnetic moment for the structures above in their given order: 0.50, 0.00, 4.00, 0.31, 0.00, 0.00, 0.00, 1.01, 2.00, 6.06, 0.00, 0.00, 2.25, 0.00, 0.00, 0.00, 0.00, 0.00, 0.00, 0.00 μB per formula unit.